# 1
# Th2AlFe2 (PBE, optimized geometry)
data_Th2AlFe2
_chemical_formula_sum 'Th4 Al2 Fe4'
_cell_length_a 5.622
_cell_length_b 5.622
_cell_length_c 7.799
_cell_angle_alpha 106.37
_cell_angle_beta 106.37
_cell_angle_gamma 57.64
_symmetry_space_group_name_H-M 'P 1'
_symmetry_Int_Tables_number 1
_symmetry_space_group_name_Hall 'P 1'
loop_
_atom_site_label
_atom_site_fract_x
_atom_site_fract_y
_atom_site_fract_z
_atom_site_occupancy
Th1 0.002 0.295 0.150 1
Th2 0.295 0.002 0.650 1
Th3 0.705 0.998 0.350 1
Th4 0.998 0.705 0.850 1
Al1 0.384 0.616 0.250 1
Al2 0.616 0.384 0.750 1
Fe1 0.211 0.518 0.470 1
Fe2 0.482 0.789 0.030 1
Fe3 0.518 0.211 0.970 1
Fe4 0.789 0.482 0.530 1
# energy of formation from the pure elements: -0.214 eV/atom
# symmetry: C2/c, No. 15
# E_tot: -7.32 eV/atom
# total moment: 0.0 μB per formula unit

# 2
# Th4AlFe2 (PBE, optimized geometry)
data_Th4AlFe2
_chemical_formula_sum 'Th8 Al2 Fe4'
_cell_length_a 6.722
_cell_length_b 6.854
_cell_length_c 8.641
_cell_angle_alpha 107.38
_cell_angle_beta 106.81
_cell_angle_gamma 104.55
_symmetry_space_group_name_H-M 'P 1'
_symmetry_Int_Tables_number 1
_symmetry_space_group_name_Hall 'P 1'
loop_
_atom_site_label
_atom_site_fract_x
_atom_site_fract_y
_atom_site_fract_z
_atom_site_occupancy
Th1 0.000 0.000 0.000 1
Th2 0.015 0.716 0.579 1
Th3 0.304 0.161 0.482 1
Th4 0.364 0.566 0.277 1
Th5 0.475 0.624 0.872 1
Th6 0.529 0.179 0.982 1
Th7 0.749 0.107 0.373 1
Th8 0.928 0.428 0.856 1
Al1 0.625 0.911 0.652 1
Al2 0.899 0.686 0.203 1
Fe1 0.144 0.199 0.753 1
Fe2 0.318 0.873 0.100 1
Fe3 0.663 0.541 0.617 1
Fe4 0.974 0.352 0.238 1
# energy of formation from the pure elements: -0.122 eV/atom
# symmetry: P1, No. 1
# E_tot: -7.31 eV/atom
# total moment: 0.0 μB per formula unit

# 3
# Th2AlFe (PBE, optimized geometry)
data_Th2AlFe
_chemical_formula_sum 'Th8 Al4 Fe4'
_cell_length_a 7.400
_cell_length_b 7.286
_cell_length_c 7.108
_cell_angle_alpha 90.00
_cell_angle_beta 90.00
_cell_angle_gamma 90.00
_symmetry_space_group_name_H-M 'P 1'
_symmetry_Int_Tables_number 1
_symmetry_space_group_name_Hall 'P 1'
loop_
_atom_site_label
_atom_site_fract_x
_atom_site_fract_y
_atom_site_fract_z
_atom_site_occupancy
Th1 0.180 0.002 0.171 1
Th2 0.180 0.498 0.171 1
Th3 0.320 0.502 0.671 1
Th4 0.320 0.998 0.671 1
Th5 0.680 0.002 0.329 1
Th6 0.680 0.498 0.329 1
Th7 0.820 0.502 0.829 1
Th8 0.820 0.998 0.829 1
Al1 0.005 0.750 0.478 1
Al2 0.495 0.250 0.978 1
Al3 0.505 0.750 0.022 1
Al4 0.995 0.250 0.522 1
Fe1 0.153 0.250 0.871 1
Fe2 0.347 0.750 0.371 1
Fe3 0.653 0.250 0.629 1
Fe4 0.847 0.750 0.129 1
# energy of formation from the pure elements: -0.240 eV/atom
# symmetry: Pnma, No. 62
# E_tot: -7.00 eV/atom
# ΔE to the lowest computed polymorph: 0.0 meV per atom
# total moment: 0.0 μB per formula unit